(1)
Crystalline TcMoCl2 at its relaxed geometry. Source: the Alexandria database, functional PBE.

Unit cell a=4.3795 b=4.3795 c=3.0488 alpha=90.00 beta=90.00 gamma=89.98
Closest atoms and distances in Å follow each position.
Fractional coordinates of all 4 atoms:
Cl  0.5000  0.5000  0.0000  4 Tc 2.67, 4 Mo 2.67
Cl  0.0000  0.0000  0.0000  4 Mo 2.67, 4 Tc 2.67
Mo  0.5000  0.0000  0.5000  8 Cl 2.67
Tc  0.0000  0.5000  0.5000  8 Cl 2.67

Properties
Calculated volume (Å³/cell): 58
Energy above the most stable polymorph in this dataset (meV/atom): 1230
Energy relative to the elements, uncorrected (meV per atom): 963.4
E_tot (eV per cell): -21.037

(2)
Crystalline Tc2MoCl at its relaxed geometry. Source: the Alexandria database, functional PBE.

Unit cell a=8.6195 b=8.6195 c=8.6195 alpha=19.29 beta=19.29 gamma=19.29
Closest atoms and distances in Å follow each position.
Fractional coordinates of all 4 atoms:
Tc  0.9993  0.9993  0.9993  3 Cl 2.68, 3 Mo 2.71, 6 Tc 2.89
Tc  0.5007  0.5007  0.5007  3 Cl 2.68, 3 Mo 2.71, 6 Tc 2.89
Mo  0.7500  0.7500  0.7500  6 Tc 2.71, 6 Mo 2.89
Cl  0.2500  0.2500  0.2500  6 Tc 2.68, 6 Cl 2.89

Properties
Calculated volume (Å³/cell): 61
Energy above the most stable polymorph in this dataset (meV/atom): 0
Energy relative to the elements, uncorrected (meV per atom): 293.6
E_tot (eV per cell): -32.235

(3)
Crystalline TcMoCl2 at its relaxed geometry. Source: the Alexandria database, functional PBE.

Unit cell a=6.0276 b=6.0276 c=5.4815 alpha=81.12 beta=81.12 gamma=31.33
Closest atoms and distances in Å follow each position.
Fractional coordinates of all 4 atoms:
Mo  0.5045  0.5045  0.4043  2 Tc 2.28
Cl  0.0677  0.0677  0.0133  1 Tc 2.44, 2 Mo 2.70
Cl  0.8189  0.8189  0.5200  2 Mo 2.69, 2 Tc 2.91
Tc  0.1089  0.1089  0.5624  2 Mo 2.28, 1 Cl 2.44

Properties
Calculated volume (Å³/cell): 102
Energy above the most stable polymorph in this dataset (meV/atom): 424
Energy relative to the elements, uncorrected (meV per atom): 156.9
E_tot (eV per cell): -24.263

(4)
Crystalline TcMoCl2 at its relaxed geometry. Source: the Alexandria database, functional PBE.

Unit cell a=3.1078 b=3.1078 c=8.6119 alpha=90.00 beta=90.00 gamma=124.86
Closest atoms and distances in Å follow each position.
Fractional coordinates of all 4 atoms:
Mo  0.5000  0.5000  0.2500  4 Cl 2.51
Cl  0.0000  0.0000  0.4885  2 Mo 2.51, 2 Tc 2.67
Cl  0.0000  0.0000  0.0115  2 Mo 2.51, 2 Tc 2.67
Tc  0.5000  0.5000  0.7500  4 Cl 2.67, 2 Tc 2.88

Properties
Calculated volume (Å³/cell): 68
Energy above the most stable polymorph in this dataset (meV/atom): 945
Energy relative to the elements, uncorrected (meV per atom): 678.0
E_tot (eV per cell): -22.178

(5)
Crystalline TcMoCl2 at its relaxed geometry. Source: the Alexandria database, functional PBE.

Unit cell a=7.6042 b=7.6042 c=7.6042 alpha=156.61 beta=147.32 gamma=40.58
Closest atoms and distances in Å follow each position.
Fractional coordinates of all 4 atoms:
Mo  0.7500  0.2500  0.5000  4 Cl 2.51, 4 Tc 2.64
Cl  0.6111  0.6111  0.0000  2 Mo 2.51
Cl  0.8889  0.8889  0.0000  2 Mo 2.51
Tc  0.2500  0.7500  0.5000  4 Mo 2.64, 4 Cl 2.92

Properties
Calculated volume (Å³/cell): 94
Energy above the most stable polymorph in this dataset (meV/atom): 530
Energy relative to the elements, uncorrected (meV per atom): 263.8
E_tot (eV per cell): -23.835

(6)
Crystalline Tc2MoCl at its relaxed geometry. Source: the Alexandria database, functional PBE.

Unit cell a=2.8264 b=2.8264 c=8.8087 alpha=90.00 beta=90.00 gamma=117.55
Closest atoms and distances in Å follow each position.
Fractional coordinates of all 4 atoms:
Tc  0.5000  0.5000  0.2439  6 Tc 2.59-2.83, 2 Cl 2.73
Tc  0.0000  0.0000  0.0020  6 Tc 2.59-2.83, 2 Mo 2.67
Mo  0.5000  0.5000  0.7491  2 Cl 2.60, 2 Tc 2.67, 4 Mo 2.83
Cl  0.0000  0.0000  0.5050  2 Mo 2.60, 2 Tc 2.73, 4 Cl 2.83

Properties
Calculated volume (Å³/cell): 62
Energy above the most stable polymorph in this dataset (meV/atom): 198
Energy relative to the elements, uncorrected (meV per atom): 491.9
E_tot (eV per cell): -31.442